(1)
Mg2TaTl: relaxed, PBE.

Geometry as POSCAR:
```
Mg2TaTl
1.0
0.0000 3.4682 3.4682
3.4682 0.0000 3.4682
3.4682 3.4682 0.0000
Mg Ta Tl
2 1 1
Direct
0.2500 0.2500 0.2500 Mg
0.7500 0.7500 0.7500 Mg
0.0000 0.0000 0.0000 Ta
0.5000 0.5000 0.5000 Tl
```

Properties
Volume ... 83.4 Å³/cell
Formation energy ... 0.61 eV per atom
Space-group type ... Fm-3m, No. 225
Offset from the most stable computed form ... 404 meV/atom
VASP energy ... -3.74 eV/atom

=====

(2)
Mg2TaTl2: relaxed, PBE.

Geometry as POSCAR:
```
Mg2TaTl2
1.0
5.5521 0.0000 0.0000
0.0000 5.5521 0.0000
0.0000 0.0000 5.4404
Mg Ta Tl
2 1 2
Direct
0.0000 0.5000 0.0000 Mg
0.5000 0.0000 0.0000 Mg
0.0000 0.0000 0.0000 Ta
0.0000 0.0000 0.5000 Tl
0.5000 0.5000 0.5000 Tl
```

Properties
Volume ... 167.7 Å³/cell
Formation energy ... 0.94 eV per atom
Space-group type ... P4/mmm, No. 123
VASP energy ... -3.01 eV/atom